{
  "formula": "MnHgBrF2",
  "functional": "PBE with a Hubbard U",
  "state": "relaxed",
  "volume_a3_per_fu": 103.26,
  "final_energy_ev_per_atom": -4.186,
  "magnetic_moment_mub_per_cell": 5.0,
  "lattice": [[-2.472, 3.322, -0.459], [-0.669, 0.070, 4.112], [4.692, 3.588, 0.703]],
  "species": ["Mn", "F", "F", "Hg", "Br"],
  "fractional_positions": [[0.000, 0.000, 0.000], [0.500, 0.000, 0.000], [0.000, 0.500, 0.000], [0.500, 0.500, 0.500], [0.000, 0.000, 0.500]]
}